First-principles (PBE-GGA) data for a geometry-optimized ZrHg4Br structure, as listed in Alexandria via LeMat-Bulk.

Calculated values
Total moment (μB per formula unit): 2.289
V (Å³ per cell): 154
Space-group type: F-43m
Fermi-level density of states (states/eV per cell): 4.82
ρ (g/cm3): 10.53
Uncorrected formation energy (eV per atom): 0.252

Cell: 6.010 6.010 6.010 Å, 60.00 60.00 60.00°
Fractional positions:
Zr  0.000  0.000  0.000
Hg  0.375  0.375  0.375
Hg  0.375  0.375  0.876
Hg  0.375  0.876  0.375
Hg  0.876  0.375  0.375
Br  0.750  0.750  0.750

First-principles (PBE-GGA) data for a geometry-optimized Tm2CuRh structure, as listed in Alexandria via LeMat-Bulk.

Calculated values
Total moment (μB per formula unit): 0.000
E_form (eV/atom): -0.624
V (Å³ per cell): 79
Space-group type: Fm-3m
Fermi-level density of states (states/eV per cell): 2.49
ρ (g/cm3): 10.60

Cell: 4.816 4.816 4.816 Å, 60.00 60.00 60.00°
Fractional positions:
Tm  0.250  0.250  0.250
Tm  0.750  0.750  0.750
Cu  0.000  0.000  0.000
Rh  0.500  0.500  0.500

First-principles (PBE-GGA) data for a geometry-optimized ScHgN2F structure, as listed in Alexandria via LeMat-Bulk.

Calculated values
Total moment (μB per formula unit): 0.000
Relative energy among the computed polymorphs (meV per atom): 831
V (Å³ per cell): 75
Space-group type: P4/mmm
Fermi-level density of states (states/eV per cell): 1.56
ρ (g/cm3): 6.46
Uncorrected formation energy (eV per atom): 0.609

Cell: 4.145 4.145 4.377 Å, 90.00 90.00 90.00°
Fractional positions:
Sc  0.000  0.000  0.000
Hg  0.500  0.500  0.500
N  0.000  0.500  0.500
N  0.500  0.000  0.500
F  0.500  0.500  0.000

Q: Which value of total moment does entry 1 give?
A: 2.289 μB per formula unit

Copy entry 2 word for word.
First-principles (PBE-GGA) data for a geometry-optimized Tm2CuRh structure, as listed in Alexandria via LeMat-Bulk.

Calculated values
Total moment (μB per formula unit): 0.000
E_form (eV/atom): -0.624
V (Å³ per cell): 79
Space-group type: Fm-3m
Fermi-level density of states (states/eV per cell): 2.49
ρ (g/cm3): 10.60

Cell: 4.816 4.816 4.816 Å, 60.00 60.00 60.00°
Fractional positions:
Tm  0.250  0.250  0.250
Tm  0.750  0.750  0.750
Cu  0.000  0.000  0.000
Rh  0.500  0.500  0.500